Record 1
Crystalline Nd6AsRu2Cl3 at its relaxed geometry, computed with PBE-GGA.

```
12
Lattice="-0.868 1.745 -6.957 -5.663 0.102 4.486 3.581 6.444 2.426" Properties=species:S:1:pos:R:3 pbc="T T T"
Nd -1.258 6.779 -1.962
Nd -3.936 2.672 -1.266
Nd -1.692 1.512 1.917
Nd -2.945 6.201 2.065
Nd 0.986 5.620 1.220
Nd -0.005 2.091 -2.110
As 0.000 0.000 0.000
Ru -4.067 0.649 0.676
Ru -2.464 1.198 -3.147
Cl -3.090 3.592 3.832
Cl 0.140 4.699 -3.877
Cl -1.475 4.146 -0.023
```

Calculated values
D(E_F) = 9.68 states/eV/cell
E_form (uncorrected) = -104.5 kJ per mole of atoms

=====

Record 2
Crystalline PuSi6Pd12 at its relaxed geometry, computed with PBE-GGA.

```
19
Lattice="7.087 -0.064 -0.090 -1.819 6.850 -0.090 -1.819 -2.342 6.437" Properties=species:S:1:pos:R:3 pbc="T T T"
Pu 0.000 0.000 0.000
Si 3.977 1.079 1.520
Si 0.060 0.077 4.391
Si 0.060 4.120 1.520
Si 3.390 4.367 1.866
Si -0.528 3.364 4.738
Si 3.390 0.323 4.738
Pd 5.063 -0.370 3.129
Pd 3.807 2.488 3.504
Pd 1.467 1.890 5.220
Pd 1.982 0.138 2.753
Pd 1.982 2.554 1.037
Pd -0.358 1.955 2.753
Pd -1.614 1.367 5.576
Pd 1.725 5.668 0.681
Pd -1.614 4.814 3.129
Pd 5.063 3.076 0.681
Pd 1.725 -1.225 5.576
Pd 1.467 4.305 3.504
```

Calculated values
D(E_F) = 26.10 states/eV/cell
E_form (uncorrected) = -57.3 kJ per mole of atoms

=====

Record 3
Crystalline KY2Ir at its relaxed geometry, computed with PBE-GGA.

```
4
Lattice="0.000 3.666 3.666 3.666 0.000 3.666 3.666 3.666 0.000" Properties=species:S:1:pos:R:3 pbc="T T T"
Y 1.833 1.833 1.833
Y 5.499 5.499 5.499
K 0.000 0.000 0.000
Ir 3.666 3.666 3.666
```

Calculated values
calculated formation energy = 0.414 eV/f.u.
D(E_F) = 4.51 states/eV/cell
polymorph energy (0 for the lowest one) = 449 meV/atom

=====

Record 4
Crystalline PuIn4Hg at its relaxed geometry, computed with PBE-GGA.

```
6
Lattice="-5.673 -0.937 -2.091 -4.643 -0.642 3.933 -4.214 4.408 0.505" Properties=species:S:1:pos:R:3 pbc="T T T"
In -6.975 -0.434 1.214
In -6.761 2.088 -0.498
In -9.079 1.767 1.466
In -6.246 2.235 2.510
Hg 0.000 0.000 0.000
Pu -3.633 0.707 0.587
```

Calculated values
calculated formation energy = 0.202 eV/f.u.
D(E_F) = 16.02 states/eV/cell

=====

Record 5
Crystalline LiAlCrIn at its relaxed geometry, computed with PBE-GGA.

```
4
Lattice="-4.257 -0.448 -1.594 -0.713 -1.818 -4.129 -1.873 -4.149 -0.376" Properties=species:S:1:pos:R:3 pbc="T T T"
Cr -3.422 -3.208 -3.049
Li 0.000 0.000 0.000
Al -5.132 -4.812 -4.574
In -1.711 -1.604 -1.525
```

Calculated values
calculated formation energy = 0.005 eV/f.u.
D(E_F) = 2.02 states/eV/cell